# SmThCuRe (PBE-GGA, relaxed)
# Magnetization: 0.00 μB/cell
# Space group: No. 216
# Formation energy from the elements: 0.036 eV per atom
# V: 22.3 Å³/atom
data_SmThCuRe
_cell_length_a 5.0171
_cell_length_b 5.0171
_cell_length_c 5.0171
_cell_angle_alpha 60.00
_cell_angle_beta 60.00
_cell_angle_gamma 60.00
_space_group_name_H-M_alt 'P 1'
_space_group_IT_number 1
_space_group_name_Hall 'P 1'
loop_
_atom_site_label
_atom_site_type_symbol
_atom_site_fract_x
_atom_site_fract_y
_atom_site_fract_z
_atom_site_occupancy
Sm1 Sm 0.0000 0.0000 0.0000 1
Th1 Th 0.5000 0.5000 0.5000 1
Cu1 Cu 0.2500 0.2500 0.2500 1
Re1 Re 0.7500 0.7500 0.7500 1

=====

# CuRe2Sn (PBE-GGA, relaxed)
# Magnetization: 0.00 μB/cell
# Space group: No. 122
# Formation energy from the elements: 0.659 eV per atom
# V: 17.7 Å³/atom
data_CuRe2Sn
_cell_length_a 9.9136
_cell_length_b 9.9136
_cell_length_c 9.9136
_cell_angle_alpha 157.59
_cell_angle_beta 157.59
_cell_angle_gamma 31.90
_space_group_name_H-M_alt 'P 1'
_space_group_IT_number 1
_space_group_name_Hall 'P 1'
loop_
_atom_site_label
_atom_site_type_symbol
_atom_site_fract_x
_atom_site_fract_y
_atom_site_fract_z
_atom_site_occupancy
Cu1 Cu 0.0000 0.0000 0.0000 1
Cu2 Cu 0.7500 0.2500 0.5000 1
Re1 Re 0.0661 0.6250 0.9411 1
Re2 Re 0.3750 0.3161 0.4411 1
Re3 Re 0.6839 0.1250 0.0589 1
Re4 Re 0.8750 0.9339 0.5589 1
Sn1 Sn 0.2500 0.7500 0.5000 1
Sn2 Sn 0.5000 0.5000 0.0000 1

=====

# Cu3ReSn (PBE-GGA, relaxed)
# ΔE to the lowest computed polymorph: 0.000 eV per atom
# Magnetization: 0.64 μB/cell
# Space group: No. 221
# Formation energy from the elements: 1.280 eV per atom
# V: 20.7 Å³/atom
data_Cu3ReSn
_cell_length_a 4.6982
_cell_length_b 4.6982
_cell_length_c 4.6982
_cell_angle_alpha 90.00
_cell_angle_beta 90.00
_cell_angle_gamma 90.00
_space_group_name_H-M_alt 'P 1'
_space_group_IT_number 1
_space_group_name_Hall 'P 1'
loop_
_atom_site_label
_atom_site_type_symbol
_atom_site_fract_x
_atom_site_fract_y
_atom_site_fract_z
_atom_site_occupancy
Cu1 Cu 0.0000 0.0000 0.5000 1
Cu2 Cu 0.0000 0.5000 0.0000 1
Cu3 Cu 0.5000 0.0000 0.0000 1
Re1 Re 0.0000 0.0000 0.0000 1
Sn1 Sn 0.5000 0.5000 0.5000 1

=====

# CuRe3Sn (PBE-GGA, relaxed)
# ΔE to the lowest computed polymorph: 0.000 eV per atom
# Magnetization: 0.00 μB/cell
# Space group: No. 221
# Formation energy from the elements: 1.873 eV per atom
# V: 18.3 Å³/atom
data_CuRe3Sn
_cell_length_a 4.5043
_cell_length_b 4.5043
_cell_length_c 4.5043
_cell_angle_alpha 90.00
_cell_angle_beta 90.00
_cell_angle_gamma 90.00
_space_group_name_H-M_alt 'P 1'
_space_group_IT_number 1
_space_group_name_Hall 'P 1'
loop_
_atom_site_label
_atom_site_type_symbol
_atom_site_fract_x
_atom_site_fract_y
_atom_site_fract_z
_atom_site_occupancy
Cu1 Cu 0.0000 0.0000 0.0000 1
Re1 Re 0.0000 0.0000 0.5000 1
Re2 Re 0.0000 0.5000 0.0000 1
Re3 Re 0.5000 0.0000 0.0000 1
Sn1 Sn 0.5000 0.5000 0.5000 1

=====

# Cu2ReSn (PBE-GGA, relaxed)
# Magnetization: 2.02 μB/cell
# Space group: No. 122
# Formation energy from the elements: 0.755 eV per atom
# V: 17.1 Å³/atom
data_Cu2ReSn
_cell_length_a 9.7143
_cell_length_b 9.7143
_cell_length_c 9.7143
_cell_angle_alpha 157.29
_cell_angle_beta 157.29
_cell_angle_gamma 32.33
_space_group_name_H-M_alt 'P 1'
_space_group_IT_number 1
_space_group_name_Hall 'P 1'
loop_
_atom_site_label
_atom_site_type_symbol
_atom_site_fract_x
_atom_site_fract_y
_atom_site_fract_z
_atom_site_occupancy
Cu1 Cu 0.0928 0.6250 0.9678 1
Cu2 Cu 0.3750 0.3428 0.4678 1
Cu3 Cu 0.6572 0.1250 0.0322 1
Cu4 Cu 0.8750 0.9072 0.5322 1
Re1 Re 0.0000 0.0000 0.0000 1
Re2 Re 0.7500 0.2500 0.5000 1
Sn1 Sn 0.2500 0.7500 0.5000 1
Sn2 Sn 0.5000 0.5000 0.0000 1

=====

# ZrCuReSn2 (PBE-GGA, relaxed)
# ΔE to the lowest computed polymorph: 0.572 eV per atom
# Magnetization: 2.08 μB/cell
# Space group: No. 123
# Formation energy from the elements: 1.491 eV per atom
# V: 30.3 Å³/atom
data_ZrCuReSn2
_cell_length_a 5.5344
_cell_length_b 5.5344
_cell_length_c 4.9518
_cell_angle_alpha 90.00
_cell_angle_beta 90.00
_cell_angle_gamma 90.00
_space_group_name_H-M_alt 'P 1'
_space_group_IT_number 1
_space_group_name_Hall 'P 1'
loop_
_atom_site_label
_atom_site_type_symbol
_atom_site_fract_x
_atom_site_fract_y
_atom_site_fract_z
_atom_site_occupancy
Zr1 Zr 0.0000 0.0000 0.0000 1
Cu1 Cu 0.5000 0.5000 0.5000 1
Re1 Re 0.0000 0.0000 0.5000 1
Sn1 Sn 0.0000 0.5000 0.0000 1
Sn2 Sn 0.5000 0.0000 0.0000 1

=====

# ZrCuReSn2 (PBE-GGA, relaxed)
# ΔE to the lowest computed polymorph: 0.000 eV per atom
# Magnetization: 1.51 μB/cell
# Space group: No. 123
# Formation energy from the elements: 0.919 eV per atom
# V: 21.9 Å³/atom
data_ZrCuReSn2
_cell_length_a 4.8145
_cell_length_b 4.8145
_cell_length_c 4.7196
_cell_angle_alpha 90.00
_cell_angle_beta 90.00
_cell_angle_gamma 90.00
_space_group_name_H-M_alt 'P 1'
_space_group_IT_number 1
_space_group_name_Hall 'P 1'
loop_
_atom_site_label
_atom_site_type_symbol
_atom_site_fract_x
_atom_site_fract_y
_atom_site_fract_z
_atom_site_occupancy
Zr1 Zr 0.0000 0.0000 0.0000 1
Cu1 Cu 0.5000 0.5000 0.5000 1
Re1 Re 0.5000 0.5000 0.0000 1
Sn1 Sn 0.0000 0.5000 0.5000 1
Sn2 Sn 0.5000 0.0000 0.5000 1

=====

# SrCu2Re (PBE-GGA, relaxed)
# ΔE to the lowest computed polymorph: 0.092 eV per atom
# Magnetization: 0.00 μB/cell
# Space group: No. 123
# Formation energy from the elements: 0.670 eV per atom
# V: 16.9 Å³/atom
data_SrCu2Re
_cell_length_a 4.8894
_cell_length_b 4.8894
_cell_length_c 2.8273
_cell_angle_alpha 90.00
_cell_angle_beta 90.00
_cell_angle_gamma 90.00
_space_group_name_H-M_alt 'P 1'
_space_group_IT_number 1
_space_group_name_Hall 'P 1'
loop_
_atom_site_label
_atom_site_type_symbol
_atom_site_fract_x
_atom_site_fract_y
_atom_site_fract_z
_atom_site_occupancy
Sr1 Sr 0.0000 0.0000 0.0000 1
Cu1 Cu 0.0000 0.5000 0.5000 1
Cu2 Cu 0.5000 0.0000 0.5000 1
Re1 Re 0.5000 0.5000 0.0000 1

=====

# SrCuRe (PBE-GGA, relaxed)
# ΔE to the lowest computed polymorph: 0.093 eV per atom
# Magnetization: 0.00 μB/cell
# Space group: No. 107
# Formation energy from the elements: 0.831 eV per atom
# V: 19.2 Å³/atom
data_SrCuRe
_cell_length_a 6.8504
_cell_length_b 6.8504
_cell_length_c 6.8504
_cell_angle_alpha 154.93
_cell_angle_beta 154.93
_cell_angle_gamma 35.75
_space_group_name_H-M_alt 'P 1'
_space_group_IT_number 1
_space_group_name_Hall 'P 1'
loop_
_atom_site_label
_atom_site_type_symbol
_atom_site_fract_x
_atom_site_fract_y
_atom_site_fract_z
_atom_site_occupancy
Sr1 Sr 0.0000 0.0000 0.0000 1
Cu1 Cu 0.6913 0.6913 0.0000 1
Re1 Re 0.3066 0.3066 0.0000 1

=====

# SrCuRe2 (PBE-GGA, relaxed)
# ΔE to the lowest computed polymorph: 0.560 eV per atom
# Magnetization: 0.00 μB/cell
# Space group: No. 12
# Formation energy from the elements: 0.940 eV per atom
# V: 17.8 Å³/atom
data_SrCuRe2
_cell_length_a 5.8414
_cell_length_b 5.8414
_cell_length_c 2.7299
_cell_angle_alpha 99.96
_cell_angle_beta 99.96
_cell_angle_gamma 124.69
_space_group_name_H-M_alt 'P 1'
_space_group_IT_number 1
_space_group_name_Hall 'P 1'
loop_
_atom_site_label
_atom_site_type_symbol
_atom_site_fract_x
_atom_site_fract_y
_atom_site_fract_z
_atom_site_occupancy
Sr1 Sr 0.0000 0.0000 0.0000 1
Cu1 Cu 0.5000 0.5000 0.0000 1
Re1 Re 0.0000 0.5000 0.5000 1
Re2 Re 0.5000 0.0000 0.5000 1

=====

# SrCuRe2 (PBE-GGA, relaxed)
# ΔE to the lowest computed polymorph: 0.000 eV per atom
# Magnetization: 0.00 μB/cell
# Space group: No. 160
# Formation energy from the elements: 0.380 eV per atom
# V: 22.7 Å³/atom
data_SrCuRe2
_cell_length_a 6.1833
_cell_length_b 6.1833
_cell_length_c 6.1833
_cell_angle_alpha 40.68
_cell_angle_beta 40.68
_cell_angle_gamma 40.68
_space_group_name_H-M_alt 'P 1'
_space_group_IT_number 1
_space_group_name_Hall 'P 1'
loop_
_atom_site_label
_atom_site_type_symbol
_atom_site_fract_x
_atom_site_fract_y
_atom_site_fract_z
_atom_site_occupancy
Sr1 Sr 0.0000 0.0000 0.0000 1
Cu1 Cu 0.2002 0.2002 0.2002 1
Re1 Re 0.4863 0.4863 0.4863 1
Re2 Re 0.8052 0.8052 0.8052 1

=====

# SrCu2Re (PBE-GGA, relaxed)
# ΔE to the lowest computed polymorph: 0.000 eV per atom
# Magnetization: 0.77 μB/cell
# Space group: No. 123
# Formation energy from the elements: 0.578 eV per atom
# V: 18.2 Å³/atom
data_SrCu2Re
_cell_length_a 3.2558
_cell_length_b 3.2558
_cell_length_c 6.8707
_cell_angle_alpha 90.00
_cell_angle_beta 90.00
_cell_angle_gamma 90.00
_space_group_name_H-M_alt 'P 1'
_space_group_IT_number 1
_space_group_name_Hall 'P 1'
loop_
_atom_site_label
_atom_site_type_symbol
_atom_site_fract_x
_atom_site_fract_y
_atom_site_fract_z
_atom_site_occupancy
Sr1 Sr 0.0000 0.0000 0.0000 1
Cu1 Cu 0.5000 0.5000 0.3196 1
Cu2 Cu 0.5000 0.5000 0.6804 1
Re1 Re 0.0000 0.0000 0.5000 1

=====

Question: What is the magnetization in the eleventh record?
Answer: 0.00 μB/cell

=====

What did the fifth record say?
# Cu2ReSn (PBE-GGA, relaxed)
# Magnetization: 2.02 μB/cell
# Space group: No. 122
# Formation energy from the elements: 0.755 eV per atom
# V: 17.1 Å³/atom
data_Cu2ReSn
_cell_length_a 9.7143
_cell_length_b 9.7143
_cell_length_c 9.7143
_cell_angle_alpha 157.29
_cell_angle_beta 157.29
_cell_angle_gamma 32.33
_space_group_name_H-M_alt 'P 1'
_space_group_IT_number 1
_space_group_name_Hall 'P 1'
loop_
_atom_site_label
_atom_site_type_symbol
_atom_site_fract_x
_atom_site_fract_y
_atom_site_fract_z
_atom_site_occupancy
Cu1 Cu 0.0928 0.6250 0.9678 1
Cu2 Cu 0.3750 0.3428 0.4678 1
Cu3 Cu 0.6572 0.1250 0.0322 1
Cu4 Cu 0.8750 0.9072 0.5322 1
Re1 Re 0.0000 0.0000 0.0000 1
Re2 Re 0.7500 0.2500 0.5000 1
Sn1 Sn 0.2500 0.7500 0.5000 1
Sn2 Sn 0.5000 0.5000 0.0000 1